Record 1
Density functional theory data (PBE) for a geometry-optimized Tc2OsSe structure.

Cell lengths 2.934, 2.934, 6.875 Å; angles 90.00, 90.00, 90.00 degrees
Atoms (fractional coordinates):
1 Tc 0.000 0.000 0.000
2 Tc 0.500 0.500 0.275
3 Os 0.000 0.000 0.520
4 Se 0.500 0.500 0.782

As for the total magnetization: 0.000 μB/atom. The space group is P4mm (99). Its total energy is -8.580 eV per atom.

***

Record 2
Density functional theory data (PBE) for a geometry-optimized La2AsN4 structure.

Cell lengths 7.312, 5.653, 10.286 Å; angles 90.00, 90.00, 90.00 degrees
Atoms (fractional coordinates):
1 La 0.001 0.250 0.197
2 La 0.147 0.750 0.433
3 La 0.353 0.250 0.933
4 La 0.499 0.750 0.697
5 La 0.501 0.250 0.303
6 La 0.647 0.750 0.067
7 La 0.853 0.250 0.567
8 La 0.999 0.750 0.803
9 As 0.212 0.750 0.073
10 As 0.288 0.250 0.573
11 As 0.712 0.750 0.427
12 As 0.788 0.250 0.927
13 N 0.034 0.250 0.929
14 N 0.184 0.250 0.411
15 N 0.189 0.508 0.650
16 N 0.189 0.992 0.650
17 N 0.311 0.008 0.150
18 N 0.311 0.492 0.150
19 N 0.316 0.750 0.911
20 N 0.466 0.750 0.429
21 N 0.534 0.250 0.571
22 N 0.684 0.250 0.089
23 N 0.689 0.508 0.850
24 N 0.689 0.992 0.850
25 N 0.811 0.008 0.350
26 N 0.811 0.492 0.350
27 N 0.816 0.750 0.589
28 N 0.966 0.750 0.071

As for the total magnetization: 0.000 μB/atom. The space group is Pnma (62). Its total energy is -7.441 eV per atom.

***

Record 3
Density functional theory data (PBE) for a geometry-optimized Cr2MoPb structure.

Cell lengths 2.960, 3.906, 5.781 Å; angles 90.00, 95.77, 90.00 degrees
Atoms (fractional coordinates):
1 Cr 0.000 0.000 0.000
2 Cr 0.379 0.500 0.181
3 Mo 0.797 0.000 0.381
4 Pb 0.390 0.500 0.695

As for the total magnetization: 0.078 μB/atom. The space group is Pm (6). Its total energy is -7.857 eV per atom. The energy relative to the elements comes out at 2.36 eV per formula unit.

***

Record 4
Density functional theory data (PBE) for a geometry-optimized Te2AsRh structure.

Cell lengths 3.331, 3.331, 7.751 Å; angles 90.00, 90.00, 90.00 degrees
Atoms (fractional coordinates):
1 Te 0.000 0.000 0.215
2 Te 0.000 0.000 0.785
3 As 0.500 0.500 0.500
4 Rh 0.500 0.500 0.000

As for the total magnetization: 0.000 μB/atom. The space group is P4/mmm (123). Its total energy is -4.354 eV per atom.

***

Record 5
Density functional theory data (PBE) for a geometry-optimized AcBe2RuO8 structure.

Cell lengths 4.756, 4.756, 7.132 Å; angles 108.40, 108.40, 68.24 degrees
Atoms (fractional coordinates):
1 Ac 0.000 0.000 0.000
2 Be 0.441 0.441 0.706
3 Be 0.559 0.559 0.294
4 Ru 0.000 0.000 0.500
5 O 0.194 0.701 0.285
6 O 0.241 0.241 0.530
7 O 0.299 0.806 0.715
8 O 0.404 0.404 0.924
9 O 0.596 0.596 0.076
10 O 0.701 0.194 0.285
11 O 0.759 0.759 0.470
12 O 0.806 0.299 0.715

As for the total magnetization: 0.071 μB/atom. The space group is C2/m (12). Its total energy is -6.764 eV per atom.

***

Record 6
Density functional theory data (PBE) for a geometry-optimized OsRhW2 structure.

Cell lengths 4.836, 4.836, 4.836 Å; angles 132.23, 132.23, 69.86 degrees
Atoms (fractional coordinates):
1 Os 0.000 0.000 0.000
2 Rh 0.750 0.250 0.500
3 W 0.250 0.750 0.500
4 W 0.500 0.500 0.000

As for the total magnetization: 0.000 μB/atom. The space group is I-4m2 (119). Its excess energy over the best structure of this formula in the dataset is 95 meV/atom. Its total energy is -11.099 eV per atom. The energy relative to the elements comes out at 0.09 eV per formula unit.

***

Going through the records in order, we get Fermi-level density of states values of 0.839; 0.752; 0.952; 0.627; 0.222; 0.782 states/eV per atom.
Going through the records in order, we get volume values of 59; 106; 66; 86; 139; 61 Å³/f.u..